Record 1
{
  "formula": "GaNi2MoO6",
  "functional": "GGA+U",
  "state": "relaxed",
  "final_energy_ry_per_atom": -0.413,
  "sg": "P4mm (99)",
  "lattice_angstrom": [[4.824, 0.000, 0.000], [0.000, 5.233, 0.000], [0.000, 0.000, 5.233]],
  "species": ["Ga", "Ni", "Ni", "Mo", "O", "O", "O", "O", "O", "O"],
  "frac_coords": [[0.577, 0.500, 0.500], [0.926, 0.500, 0.000], [0.926, 0.000, 0.500], [0.589, 0.000, 0.000], [0.748, 0.250, 0.250], [0.748, 0.250, 0.750], [0.208, 0.500, 0.500], [0.230, 0.000, 0.000], [0.748, 0.750, 0.750], [0.748, 0.750, 0.250]]
}

Record 2
{
  "formula": "Ga2NiMoO6",
  "functional": "GGA+U",
  "state": "relaxed",
  "final_energy_ry_per_atom": -0.456,
  "sg": "C2/c (15)",
  "lattice_angstrom": [[-1.099, 2.375, 4.617], [-6.663, -0.597, -0.265], [-0.164, -5.505, 3.807]],
  "species": ["Ga", "Ga", "Ga", "Ga", "Ni", "Ni", "Mo", "Mo", "O", "O", "O", "O", "O", "O", "O", "O", "O", "O", "O", "O"],
  "frac_coords": [[0.193, 0.787, 0.599], [0.307, 0.401, 0.213], [0.807, 0.213, 0.401], [0.693, 0.599, 0.787], [0.250, 0.914, 0.086], [0.750, 0.086, 0.914], [0.250, 0.266, 0.734], [0.750, 0.734, 0.266], [0.125, 0.979, 0.794], [0.375, 0.206, 0.021], [0.875, 0.021, 0.206], [0.625, 0.794, 0.979], [0.392, 0.857, 0.364], [0.108, 0.636, 0.143], [0.608, 0.143, 0.636], [0.892, 0.364, 0.857], [0.874, 0.716, 0.556], [0.626, 0.444, 0.284], [0.126, 0.284, 0.444], [0.374, 0.556, 0.716]]
}